Density functional theory data (PBE) for crystalline Er12TmSc5 at its relaxed geometry.

a b c (Å): 5.9874 10.3695 16.7697
angles (deg): 90.00 96.82 90.00
Space group C2/m (No. 12)
One atom of each set of equivalent atoms:
Er1 0.1123 0.0000 0.3370 (multiplicity 4)
Er2 0.1126 0.3333 0.3376 (multiplicity 8)
Er3 0.2189 0.5000 0.1650 (multiplicity 4)
Er4 0.2227 0.1680 0.1651 (multiplicity 8)
Tm1 0.0000 0.0000 0.0000 (multiplicity 2)
Sc1 0.0000 0.1663 0.5000 (multiplicity 4)
Sc2 0.0000 0.3333 0.0000 (multiplicity 4)
Sc3 0.0000 0.5000 0.5000 (multiplicity 2)

Summary:
The calculation puts the density of states at the Fermi level at 50.1 states/eV per cell. For the total energy, the calculation gives -180.574 eV for the cell shown. The energy of formation from the pure elements comes out at 0.0331 eV per atom.